The following is a DFT calculation (PBE) of a relaxed K2U2Te6Au crystal.

For the uncorrected formation energy, the calculation gives -0.64 eV/atom. Its density of states at the Fermi level is 0.985 states/eV/atom.

Lattice parameters (Å, degrees): 7.2582 14.2157 8.7829 90.00 105.82 90.00
With the nearest neighbours (Å) after each atom.
Space group C2/m (No. 12)
Symmetry-distinct sites (fractional):
K 0.0000 0.1521 0.0000  6 Te 3.52-3.59
U 0.0000 0.3373 0.5000  6 Te 2.97-3.11
Te 0.2438 0.1881 0.7091  2 U 2.97-3.04
Te 0.2465 0.0000 0.3171  1 Au 2.71
Au 0.0000 0.0000 0.5000  2 Te 2.71


The following is a DFT calculation (PBE) of a relaxed KU2Te4Au crystal.

For the uncorrected formation energy, the calculation gives -0.61 eV/atom. Its density of states at the Fermi level is 1.798 states/eV/atom.

Lattice parameters (Å, degrees): 4.4524 15.1423 15.6300 90.00 90.00 90.00
With the nearest neighbours (Å) after each atom.
Space group Cmcm (No. 63)
Symmetry-distinct sites (fractional):
K 0.0000 0.1250 0.2500  6 Te 3.44-3.51
U 0.0000 0.3686 0.0673  6 Te 3.12-3.17
Te 0.0000 0.0000 0.0000  4 U 3.17
Te 0.0000 0.2703 0.6091  1 Au 2.82, 3 U 3.13
Te 0.0000 0.4522 0.2500  2 Au 2.75
Au 0.0000 0.1540 0.7500  4 Te 2.75-2.82


The following is a DFT calculation (PBE) of a relaxed K2UTe6Au2 crystal.

For the uncorrected formation energy, the calculation gives -0.42 eV/atom. Its density of states at the Fermi level is 0.681 states/eV/atom.

Lattice parameters (Å, degrees): 15.3879 6.6081 9.7337 90.00 123.00 90.00
With the nearest neighbours (Å) after each atom.
Space group C2/m (No. 12)
Symmetry-distinct sites (fractional):
K 0.2021 0.0000 0.2169  7 Te 3.62-3.96, 2 Au 3.97
U 0.0000 0.0000 0.5000  6 Te 2.87-3.05
Te 0.0736 0.2477 0.8085  1 Au 2.71
Te 0.2132 0.0000 0.5981  1 Au 2.61, 1 U 2.87
Au 0.0891 0.5000 0.2877  3 Te 2.61-2.71


The following is a DFT calculation (PBE) of a relaxed KYTe2Au crystal.

For the uncorrected formation energy, the calculation gives -0.88 eV/atom. Its density of states at the Fermi level is 0.525 states/eV/atom.

Lattice parameters (Å, degrees): 8.4045 4.8728 8.4475 90.00 96.76 90.00
With the nearest neighbours (Å) after each atom.
Space group P2/c (No. 13)
Symmetry-distinct sites (fractional):
K 0.0000 0.1250 0.2500  6 Te 3.49-3.66
Y 0.5000 0.4958 0.7500  4 Te 3.07-3.08, 4 Au 3.21-3.24
Te 0.2468 0.3532 0.9722  1 Au 2.73
Au 0.5000 0.0000 0.0000  2 Te 2.73


The following is a DFT calculation (PBE) of a relaxed KZnTe2Au crystal.

For the uncorrected formation energy, the calculation gives -0.54 eV/atom.

Lattice parameters (Å, degrees): 6.3639 14.3943 7.2944 90.00 90.00 90.00
With the nearest neighbours (Å) after each atom.
Space group Cmme (No. 67)
Symmetry-distinct sites (fractional):
K 0.0000 0.2500 0.2472  6 Te 3.79-3.95, 2 Au 4.03
Zn 0.2500 0.0000 0.5000  4 Te 2.71
Te 0.0000 0.1089 0.7109  1 Au 2.63, 2 Zn 2.71
Au 0.0000 0.0000 0.0000  2 Te 2.63


The following is a DFT calculation (PBE) of a relaxed K4Zr3Te8Au crystal.

For the uncorrected formation energy, the calculation gives -0.83 eV/atom. Its density of states at the Fermi level is 0.372 states/eV/atom.

Lattice parameters (Å, degrees): 8.6153 8.6153 24.5162 90.00 90.00 120.00
With the nearest neighbours (Å) after each atom.
Space group R-3m (No. 166, hexagonal axes)
Symmetry-distinct sites (fractional):
K 0.0000 0.0000 0.0000  6 Te 3.49
K 0.0000 0.5000 0.0000  6 Te 3.47-3.53
Zr 0.0000 0.5000 0.5000  6 Te 2.94-3.00
Te 0.0000 0.0000 0.2349  3 Zr 3.00
Te 0.0048 0.5024 0.7682  2 Zr 2.94, 1 Au 2.99
Au 0.0000 0.0000 0.5000  6 Te 2.99


The following is a DFT calculation (PBE) of a relaxed K2ZrTe6Au2 crystal.

For the uncorrected formation energy, the calculation gives -0.42 eV/atom. Its density of states at the Fermi level is 0.445 states/eV/atom.

Lattice parameters (Å, degrees): 12.5158 8.7820 8.6820 90.00 119.53 90.00
With the nearest neighbours (Å) after each atom.
Space group C2/m (No. 12)
Symmetry-distinct sites (fractional):
K 0.2288 0.0000 0.2143  2 Au 3.75-3.84, 7 Te 3.81-4.09
Zr 0.0000 0.0000 0.5000  6 Te 2.87-2.90
Te 0.0301 0.2153 0.7714  1 Au 2.65, 1 Zr 2.90
Te 0.2443 0.5000 0.2360  1 Au 2.67, 1 Zr 2.87
Au 0.0494 0.5000 0.2849  3 Te 2.65-2.67


The following is a DFT calculation (PBE) of a relaxed KTi3Au crystal.

For the energy relative to the elements, the calculation gives 1792 meV/atom. Its density of states at the Fermi level is 1.107 states/eV/atom.

Lattice parameters (Å, degrees): 4.4993 4.4993 4.4993 90.00 90.00 90.00
With the nearest neighbours (Å) after each atom.
Space group Pm-3m (No. 221)
Symmetry-distinct sites (fractional):
K 0.0000 0.0000 0.0000  6 Ti 2.25
Ti 0.0000 0.0000 0.5000  2 K 2.25
Au 0.5000 0.5000 0.5000  12 Ti 3.18


The following is a DFT calculation (PBE) of a relaxed KTiAu2 crystal.

For the energy relative to the elements, the calculation gives 219 meV/atom. Its density of states at the Fermi level is 1.410 states/eV/atom.

Lattice parameters (Å, degrees): 7.8670 7.8670 7.1693 90.00 90.00 90.00
With the nearest neighbours (Å) after each atom.
Space group I-42d (No. 122)
Symmetry-distinct sites (fractional):
K 0.0000 0.0000 0.0000  8 Au 3.31-3.62, 2 Ti 3.58
Ti 0.0000 0.0000 0.5000  4 Au 2.59
Au 0.1816 0.2500 0.6250  2 Ti 2.59


The following is a DFT calculation (PBE) of a relaxed K3TiAu crystal.

For the energy relative to the elements, the calculation gives 669 meV/atom. Its density of states at the Fermi level is 3.872 states/eV/atom.

Lattice parameters (Å, degrees): 6.2961 6.2961 6.2961 90.00 90.00 90.00
With the nearest neighbours (Å) after each atom.
Space group Pm-3m (No. 221)
Symmetry-distinct sites (fractional):
K 0.0000 0.0000 0.5000  2 Au 3.15
Ti 0.5000 0.5000 0.5000  12 K 4.45
Au 0.0000 0.0000 0.0000  6 K 3.15


The following is a DFT calculation (PBE) of a relaxed KTiAu3 crystal.

For the energy relative to the elements, the calculation gives 1442 meV/atom. Its density of states at the Fermi level is 2.681 states/eV/atom.

Lattice parameters (Å, degrees): 5.3001 5.3001 5.3001 90.00 90.00 90.00
With the nearest neighbours (Å) after each atom.
Space group Pm-3m (No. 221)
Symmetry-distinct sites (fractional):
K 0.0000 0.0000 0.0000  6 Au 2.65
Ti 0.5000 0.5000 0.5000  12 Au 3.75
Au 0.0000 0.0000 0.5000  2 K 2.65


The following is a DFT calculation (PBE) of a relaxed KTiAu2 crystal.

For the energy relative to the elements, the calculation gives 258 meV/atom. Its density of states at the Fermi level is 1.496 states/eV/atom.

Lattice parameters (Å, degrees): 7.0117 7.0117 7.0117 90.00 90.00 90.00
With the nearest neighbours (Å) after each atom.
Space group Fm-3m (No. 225)
Symmetry-distinct sites (fractional):
K 0.0000 0.0000 0.0000  8 Au 3.04
Ti 0.0000 0.0000 0.5000  8 Au 3.04
Au 0.2500 0.2500 0.2500  4 Ti 3.04, 4 K 3.04


The following is a DFT calculation (PBE) of a relaxed KTiAu3 crystal.

For the energy relative to the elements, the calculation gives 74 meV/atom. Its density of states at the Fermi level is 0.630 states/eV/atom.

Lattice parameters (Å, degrees): 5.1583 5.1583 5.1583 90.00 90.00 90.00
With the nearest neighbours (Å) after each atom.
Space group Pm-3m (No. 221)
Symmetry-distinct sites (fractional):
K 0.0000 0.0000 0.0000  12 Au 3.65
Ti 0.5000 0.5000 0.5000  6 Au 2.58
Au 0.0000 0.5000 0.5000  2 Ti 2.58


The following is a DFT calculation (PBE) of a relaxed KTi3Au crystal.

For the energy relative to the elements, the calculation gives 891 meV/atom. Its density of states at the Fermi level is 1.500 states/eV/atom.

Lattice parameters (Å, degrees): 5.0768 5.0768 5.0768 90.00 90.00 90.00
With the nearest neighbours (Å) after each atom.
Space group Pm-3m (No. 221)
Symmetry-distinct sites (fractional):
K 0.0000 0.0000 0.0000  12 Ti 3.59
Ti 0.0000 0.5000 0.5000  2 Au 2.54
Au 0.5000 0.5000 0.5000  6 Ti 2.54


The following is a DFT calculation (PBE) of a relaxed KTiAu2 crystal.

For the energy relative to the elements, the calculation gives -223 meV/atom. Its density of states at the Fermi level is 0.656 states/eV/atom.

Lattice parameters (Å, degrees): 3.3151 3.3151 8.2013 90.00 90.00 90.00
With the nearest neighbours (Å) after each atom.
Space group P4/mmm (No. 123)
Symmetry-distinct sites (fractional):
K 0.0000 0.0000 0.0000  4 K 3.32, 8 Au 3.51
Ti 0.0000 0.0000 0.5000  8 Au 2.78
Au 0.5000 0.5000 0.3183  4 Ti 2.78, 1 Au 2.98


The following is a DFT calculation (PBE) of a relaxed KTiTlAu2 crystal.

For the energy relative to the elements, the calculation gives 1049 meV/atom. Its density of states at the Fermi level is 3.097 states/eV/atom.

Lattice parameters (Å, degrees): 5.3209 5.3209 5.7826 90.00 90.00 90.00
With the nearest neighbours (Å) after each atom.
Space group P4/mmm (No. 123)
Symmetry-distinct sites (fractional):
K 0.0000 0.0000 0.0000  2 Tl 2.89
Ti 0.5000 0.5000 0.0000  4 K 3.76, 8 Au 3.93
Tl 0.0000 0.0000 0.5000  4 Au 2.66, 2 K 2.89
Au 0.0000 0.5000 0.5000  2 Tl 2.66


The following is a DFT calculation (PBE) of a relaxed KTl10Au3 crystal.

For the energy relative to the elements, the calculation gives -13 meV/atom. Its density of states at the Fermi level is 0.576 states/eV/atom.

Lattice parameters (Å, degrees): 15.1287 15.1287 15.1287 90.00 90.00 90.00
With the nearest neighbours (Å) after each atom.
Space group Fm-3m (No. 225)
Symmetry-distinct sites (fractional):
K 0.2500 0.2500 0.2500  4 Tl 3.50
Tl 0.0000 0.1695 0.1695  2 Au 2.99
Tl 0.1163 0.1163 0.3837  3 Au 3.02
Au 0.0000 0.0000 0.2706  8 Tl 2.99-3.02


The following is a DFT calculation (PBE) of a relaxed KTl2Au2 crystal.

For the energy relative to the elements, the calculation gives -107 meV/atom. Its density of states at the Fermi level is 0.320 states/eV/atom.

Lattice parameters (Å, degrees): 8.9015 8.9015 3.4290 90.00 90.00 90.00
With the nearest neighbours (Å) after each atom.
Space group P4/mbm (No. 127)
Symmetry-distinct sites (fractional):
K 0.0000 0.0000 0.0000  2 K 3.43, 4 Tl 3.50, 8 Au 3.72
Tl 0.1286 0.3714 0.0000  6 Au 3.04-3.20, 1 Tl 3.24
Au 0.1717 0.6717 0.5000  6 Tl 3.04-3.20


The following is a DFT calculation (PBE) of a relaxed K12Tl5Au2 crystal.

For the energy relative to the elements, the calculation gives -92 meV/atom. Its density of states at the Fermi level is 0.633 states/eV/atom.

Lattice parameters (Å, degrees): 14.3749 12.6623 9.3177 90.00 99.81 90.00
With the nearest neighbours (Å) after each atom.
Space group C2/m (No. 12)
Symmetry-distinct sites (fractional):
K 0.0860 0.0000 0.2313  2 Tl 3.51-3.80, 2 Au 3.64
K 0.1172 0.2306 0.8633  1 Au 3.61, 3 Tl 3.71-4.01, 1 K 3.87
K 0.1181 0.5000 0.6676  2 Tl 3.62-3.78, 4 K 3.87-3.98
K 0.1502 0.3162 0.3336  1 Au 3.44, 2 Tl 3.75-3.81
Tl 0.0000 0.5000 0.0000  2 Tl 3.18
Tl 0.1420 0.0000 0.6129  2 Au 2.99
Tl 0.2242 0.5000 0.0488  2 Tl 3.18-3.40
Au 0.0000 0.1659 0.5000  2 Tl 2.99


The following is a DFT calculation (PBE) of a relaxed K6TlAu crystal.

For the energy relative to the elements, the calculation gives -93 meV/atom. Its density of states at the Fermi level is 0.585 states/eV/atom.

Lattice parameters (Å, degrees): 4.7333 13.0545 14.3613 90.00 90.00 90.00
With the nearest neighbours (Å) after each atom.
Space group Amm2 (No. 38)
Symmetry-distinct sites (fractional):
K 0.0000 0.0000 0.0000  10 K 4.37-4.73
K 0.0000 0.1553 0.7108  2 Au 3.53, 1 Tl 3.90
K 0.5000 0.0000 0.2632  2 Tl 3.90, 2 K 4.13
K 0.5000 0.2209 0.4687  1 Au 3.41, 2 Tl 3.73
Tl 0.0000 0.0000 0.4791  2 Au 2.90
Au 0.5000 0.0000 0.5958  2 Tl 2.90


Number 1: V 872 Å³ per cell. Number 2: V 1054 Å³ per cell. Number 3: V 830 Å³ per cell. Number 4: V 344 Å³ per cell. Number 5: V 668 Å³ per cell. Number 6: V 1576 Å³ per cell. Number 7: V 830 Å³ per cell. Number 8: V 91 Å³ per cell. Number 9: V 444 Å³ per cell. Number 10: V 250 Å³ per cell. Number 11: V 149 Å³ per cell. Number 12: V 345 Å³ per cell. Number 13: V 137 Å³ per cell. Number 14: V 131 Å³ per cell. Number 15: V 90 Å³ per cell. Number 16: V 164 Å³ per cell. Number 17: V 3463 Å³ per cell. Number 18: V 272 Å³ per cell. Number 19: V 1671 Å³ per cell. Number 20: V 887 Å³ per cell.